Run a
Density functional theory data (GGA-PBE) for crystalline InGaCu6 at its relaxed geometry.

The structure in POSCAR format:
```
InGaCu6
1.0
4.287 0.000 0.000
0.000 5.308 0.000
0.000 0.000 4.761
In Ga Cu
1 1 6
direct
0.000 0.000 0.000
0.500 0.500 0.315
0.000 0.260 0.500
0.000 0.500 0.997
0.000 0.740 0.500
0.500 0.000 0.356
0.500 0.262 0.813
0.500 0.738 0.813
```

Computed properties:
The density of states at the Fermi level is 1.61 states/eV/cell. The density comes out at 8.7 Mg/m³.

Run b
Density functional theory data (GGA-PBE) for crystalline InGaCu6 at its relaxed geometry.

The structure in POSCAR format:
```
InGaCu6
1.0
5.389 0.000 0.000
-2.695 4.667 0.000
0.000 0.000 4.307
In Ga Cu
1 1 6
direct
0.000 0.000 0.000
0.667 0.333 0.500
0.004 0.502 0.000
0.175 0.351 0.500
0.175 0.825 0.500
0.498 0.502 0.000
0.498 0.996 0.000
0.649 0.825 0.500
```

Computed properties:
The density of states at the Fermi level is 2.34 states/eV/cell. The density comes out at 8.7 Mg/m³.

Energetically preferred structure: run a | next structure: +19 meV per atom